Density functional theory data (GGA-PBE) for crystalline Li2Mg2Ag2Sn at its relaxed geometry.

extended XYZ file:
```
7
Lattice="4.713 0.000 0.000 2.357 4.082 0.000 2.357 1.361 6.851" Properties=species:S:1:pos:R:3 pbc="T T T"
Li 4.713 2.721 2.108
Li 4.713 2.721 4.743
Mg 7.070 4.082 5.621
Mg 2.357 1.361 1.230
Ag 2.357 1.361 3.978
Ag 7.070 4.082 2.873
Sn 0.000 0.000 0.000
```

Summary:
Its calculated formation energy is -0.24 eV per atom. For the density of states at the Fermi level, the calculation gives 0.092 states/eV per atom. Its final energy is -18.37 eV per cell. Its symmetry is No. 166.